Y3Mn2Sb3O14 | PBE with a Hubbard U | optimized geometry

The space group is R-3m (No. 166, hexagonal axes) and the conventional cell measures 7.4689, 7.4689 and 17.5144 Å, with angles of 90.00, 90.00 and 120.00 degrees. The asymmetric unit holds Y at (0.0000, 0.5000, 0.0000), Mn at (0.0000, 0.0000, 0.0000), Mn at (0.0000, 0.0000, 0.5000), Sb at (0.0000, 0.5000, 0.5000), O at (0.0000, 0.0000, 0.3807), O at (0.0302, 0.5151, 0.6117) and O at (0.0626, 0.5313, 0.8540).

As for the calculated total energy: -498.880 eV for the cell shown.